# MnV2SnH

Crystalline MnV2SnH at its relaxed geometry (PBE, Alexandria).

a = 3.883 Å, b = 3.883 Å, c = 4.078 Å
α = 90.00°, β = 90.00°, γ = 90.00°
Atoms (fractional coordinates):
H1 0.000 0.000 0.000
Mn1 0.000 0.000 0.500
Sn1 0.500 0.500 0.500
V1 0.000 0.500 0.000
V2 0.500 0.000 0.000

The calculation puts the theoretical density at 7.47 Mg/m³. Its total energy is -35.141 eV for the cell shown. The space group is P4/mmm (123).